Computed, not measured: Pu3Tl2CrO12 after structural relaxation at the PBE+U level of DFT.

Properties
VASP energy: -152.26 eV/f.u.

Cell lengths 7.4169, 7.4169, 7.4169 Å; angles 64.08, 64.08, 64.08 degrees
Closest atoms and distances in Å follow each position.
Sites, in units of the cell vectors:
1 Pu 0.0000 0.5000 0.5000  6 O 1.94-2.11
2 Pu 0.5000 0.0000 0.5000  6 O 1.94-2.11
3 Pu 0.5000 0.5000 0.0000  6 O 1.94-2.11
4 Tl 0.1546 0.1546 0.1546  6 O 3.11-3.16
5 Tl 0.8454 0.8454 0.8454  6 O 3.11-3.16
6 Cr 0.5000 0.5000 0.5000  6 O 1.99
7 O 0.1791 0.1791 0.5506  2 Pu 2.11
8 O 0.1791 0.5506 0.1791  2 Pu 2.11
9 O 0.1936 0.5600 0.5600  1 Pu 1.94, 1 Cr 1.99
10 O 0.4400 0.4400 0.8064  1 Pu 1.94, 1 Cr 1.99
11 O 0.4400 0.8064 0.4400  1 Pu 1.94, 1 Cr 1.99
12 O 0.4494 0.8209 0.8209  2 Pu 2.11
13 O 0.5506 0.1791 0.1791  2 Pu 2.11
14 O 0.5600 0.1936 0.5600  1 Pu 1.94, 1 Cr 1.99
15 O 0.5600 0.5600 0.1936  1 Pu 1.94, 1 Cr 1.99
16 O 0.8064 0.4400 0.4400  1 Pu 1.94, 1 Cr 1.99
17 O 0.8209 0.4494 0.8209  2 Pu 2.11
18 O 0.8209 0.8209 0.4494  2 Pu 2.11